[1]
DFT (PBE) results for crystalline CaAcCd2Au4 at its relaxed geometry.

POSCAR file:
```
CaAcCd2Au4
1.0
2.459 1.420 9.121
-2.459 1.420 9.121
0.000 -2.840 9.121
Ca Ac Cd Au
1 1 2 4
Direct
0.000 0.000 0.000 Ca
0.500 0.500 0.500 Ac
0.259 0.259 0.259 Cd
0.741 0.741 0.741 Cd
0.109 0.109 0.109 Au
0.380 0.380 0.380 Au
0.620 0.620 0.620 Au
0.891 0.891 0.891 Au
```

Results
For the density, the calculation gives 11.12 Mg/m³. Its calculated volume is 23.884 Å³ per atom. As for the formation energy: -466 kJ/mol of formula units.

[2]
DFT (PBE) results for crystalline SrHf2SnTe at its relaxed geometry.

POSCAR file:
```
SrHf2SnTe
1.0
5.325 0.000 0.000
0.000 5.325 0.000
0.000 0.000 5.699
Sr Hf Sn Te
1 2 1 1
Direct
0.000 0.000 0.000 Sr
0.000 0.500 0.000 Hf
0.500 0.000 0.000 Hf
0.000 0.000 0.500 Sn
0.500 0.500 0.500 Te
```

Results
For the density, the calculation gives 7.10 Mg/m³. Its calculated volume is 32.318 Å³ per atom. Its uncorrected formation energy is 1.67 eV/atom. The calculation puts the distance to the lowest polymorph of the same formula at 0.9970 eV/atom.